{
  "formula": "LaMg2",
  "functional": "PBE-GGA",
  "state": "optimized geometry",
  "lattice": [[7.5786, 0.0000, 0.0000], [0.0000, 7.5786, 0.0000], [0.0000, 0.0000, 7.5786]],
  "species": ["Mg", "La", "La", "Mg", "Mg", "Mg", "La", "Mg", "Mg", "Mg", "La", "Mg"],
  "frac_coords": [[0.6094, 0.8906, 0.1094], [0.5000, 0.5000, 0.0000], [0.0000, 0.0000, 0.0000], [0.8906, 0.3906, 0.1094], [0.6094, 0.6094, 0.6094], [0.1094, 0.8906, 0.3906], [0.5000, 0.0000, 0.5000], [0.3906, 0.3906, 0.3906], [0.8906, 0.1094, 0.6094], [0.1094, 0.6094, 0.8906], [0.0000, 0.5000, 0.5000], [0.3906, 0.1094, 0.8906]],
  "volume_a3_per_fu": 108.8,
  "m_tot_mub_per_cell": 0.01,
  "ef_ev_per_atom": 0.659,
  "space_group": "Pa-3 (205)"
}